Record 1
VASP calculation (GGA-PBE) on a relaxed Rb2Sn5Pb3 crystal.

POSCAR file:
```
Rb2Sn5Pb3
1.0
5.165 0.000 0.000
0.000 5.165 0.000
0.000 0.000 13.737
Rb Sn Pb
2 5 3
direct
0.000 0.500 0.244
0.500 0.000 0.756
0.000 0.000 0.000
0.000 0.000 0.500
0.000 0.500 0.879
0.500 0.000 0.121
0.500 0.500 0.000
0.000 0.500 0.638
0.500 0.000 0.362
0.500 0.500 0.500
```

Calculated values
**Density of states at the Fermi level**: 0.348 states/eV per atom
**Energy above the lowest structure with this stoichiometry**: 0.00 eV per formula unit
**SG**: P-4m2, No. 115
**Formation energy**: -1.17 eV per formula unit



Record 2
VASP calculation (GGA-PBE) on a relaxed RbSn4Pb2 crystal.

POSCAR file:
```
RbSn4Pb2
1.0
5.730 0.000 0.000
0.000 15.597 0.000
0.000 0.000 5.608
Rb Sn Pb
2 8 4
direct
0.000 0.000 0.000
0.500 0.500 0.000
0.000 0.193 0.500
0.000 0.286 0.000
0.000 0.714 0.000
0.000 0.807 0.500
0.500 0.214 0.000
0.500 0.307 0.500
0.500 0.693 0.500
0.500 0.786 0.000
0.000 0.395 0.500
0.000 0.605 0.500
0.500 0.105 0.500
0.500 0.895 0.500
```

Calculated values
**Density of states at the Fermi level**: 0.526 states/eV per atom
**Energy above the lowest structure with this stoichiometry**: 0.00 eV per formula unit
**SG**: Cmmm, No. 65
**Formation energy**: -0.27 eV per formula unit



Record 3
VASP calculation (GGA-PBE) on a relaxed Rb2SnPb crystal.

POSCAR file:
```
Rb2SnPb
1.0
13.883 0.000 0.000
0.000 13.883 0.000
0.000 0.000 5.800
Rb Sn Pb
8 4 4
direct
0.065 0.250 0.125
0.250 0.565 0.375
0.250 0.935 0.875
0.435 0.250 0.625
0.565 0.750 0.625
0.750 0.065 0.875
0.750 0.435 0.375
0.935 0.750 0.125
0.000 0.000 0.000
0.000 0.500 0.250
0.500 0.000 0.750
0.500 0.500 0.500
0.000 0.000 0.500
0.000 0.500 0.750
0.500 0.000 0.250
0.500 0.500 0.000
```

Calculated values
**Density of states at the Fermi level**: 0.492 states/eV per atom
**Energy above the lowest structure with this stoichiometry**: 0.75 eV per formula unit
**SG**: I-42d, No. 122
**Formation energy**: 0.21 eV per formula unit



Record 4
VASP calculation (GGA-PBE) on a relaxed RbSn2Pb4 crystal.

POSCAR file:
```
RbSn2Pb4
1.0
5.007 0.000 0.000
0.000 19.071 0.000
0.000 0.000 5.093
Rb Sn Pb
2 4 8
direct
0.000 0.000 0.000
0.500 0.500 0.000
0.000 0.422 0.500
0.000 0.578 0.500
0.500 0.078 0.500
0.500 0.922 0.500
0.000 0.179 0.500
0.000 0.318 0.000
0.000 0.682 0.000
0.000 0.821 0.500
0.500 0.182 0.000
0.500 0.321 0.500
0.500 0.679 0.500
0.500 0.818 0.000
```

Calculated values
**Density of states at the Fermi level**: 0.344 states/eV per atom
**SG**: Cmmm, No. 65
**Formation energy**: -0.47 eV per formula unit



Record 5
VASP calculation (GGA-PBE) on a relaxed RbSnPb2 crystal.

POSCAR file:
```
RbSnPb2
1.0
10.289 0.000 0.000
0.000 4.258 0.000
-1.654 0.000 7.000
Rb Sn Pb
2 2 4
direct
0.000 0.000 0.000
0.500 0.500 0.000
0.000 0.500 0.500
0.500 0.000 0.500
0.232 0.000 0.664
0.268 0.500 0.336
0.732 0.500 0.664
0.768 0.000 0.336
```

Calculated values
**Density of states at the Fermi level**: 0.395 states/eV per atom
**SG**: C2/m, No. 12
**Formation energy**: -0.27 eV per formula unit



Record 6
VASP calculation (GGA-PBE) on a relaxed RbSnPb2 crystal.

POSCAR file:
```
RbSnPb2
1.0
5.689 0.000 0.000
0.000 5.689 0.000
0.000 0.000 21.179
Rb Sn Pb
4 4 8
direct
0.000 0.000 0.000
0.000 0.500 0.250
0.500 0.000 0.750
0.500 0.500 0.500
0.000 0.000 0.500
0.000 0.500 0.750
0.500 0.000 0.250
0.500 0.500 0.000
0.137 0.250 0.625
0.250 0.637 0.875
0.250 0.863 0.375
0.363 0.250 0.125
0.637 0.750 0.125
0.750 0.137 0.375
0.750 0.363 0.875
0.863 0.750 0.625
```

Calculated values
**Density of states at the Fermi level**: 0.620 states/eV per atom
**SG**: I-42d, No. 122
**Formation energy**: 0.38 eV per formula unit



Record 7
VASP calculation (GGA-PBE) on a relaxed Rb2SnPb crystal.

POSCAR file:
```
Rb2SnPb
1.0
4.730 0.000 0.000
0.000 11.078 0.000
0.000 0.000 7.407
Rb Sn Pb
4 2 2
direct
0.000 0.185 0.000
0.000 0.815 0.000
0.500 0.315 0.500
0.500 0.685 0.500
0.000 0.500 0.213
0.500 0.000 0.713
0.000 0.000 0.472
0.500 0.500 0.972
```

Calculated values
**Density of states at the Fermi level**: 0.487 states/eV per atom
**Energy above the lowest structure with this stoichiometry**: 0.00 eV per formula unit
**SG**: Imm2, No. 44
**Formation energy**: -0.54 eV per formula unit



Record 8
VASP calculation (GGA-PBE) on a relaxed RbSn2Pb10 crystal.

POSCAR file:
```
RbSn2Pb10
1.0
0.000 8.159 8.206
3.258 0.000 8.206
3.258 8.159 0.000
Rb Sn Pb
1 2 10
direct
0.000 0.000 0.000
0.000 0.000 0.500
0.500 0.500 0.000
0.000 0.500 0.000
0.004 0.646 0.354
0.281 0.503 0.497
0.354 0.996 0.004
0.497 0.719 0.281
0.500 0.000 0.500
0.503 0.281 0.719
0.646 0.004 0.996
0.719 0.497 0.503
0.996 0.354 0.646
```

Calculated values
**Density of states at the Fermi level**: 0.425 states/eV per atom
**SG**: Fmmm, No. 69
**Formation energy**: -0.34 eV per formula unit



Record 9
VASP calculation (GGA-PBE) on a relaxed Rb2Sn6Pb crystal.

POSCAR file:
```
Rb2Sn6Pb
1.0
7.076 0.000 0.000
-3.538 6.128 0.000
0.000 0.000 6.951
Rb Sn Pb
2 6 1
direct
0.333 0.667 0.133
0.667 0.333 0.867
0.182 0.364 0.647
0.182 0.818 0.647
0.364 0.182 0.353
0.636 0.818 0.647
0.818 0.182 0.353
0.818 0.636 0.353
0.000 0.000 0.000
```

Calculated values
**Density of states at the Fermi level**: 0.252 states/eV per atom
**SG**: P-3m1, No. 164
**Formation energy**: -1.26 eV per formula unit



Record 10
VASP calculation (GGA-PBE) on a relaxed Rb3Sn2Pb3 crystal.

POSCAR file:
```
Rb3Sn2Pb3
1.0
3.048 -6.351 0.000
3.048 6.351 0.000
0.000 0.000 16.393
Rb Sn Pb
6 4 6
direct
0.009 0.991 0.750
0.160 0.840 0.028
0.160 0.840 0.472
0.840 0.160 0.528
0.840 0.160 0.972
0.991 0.009 0.250
0.303 0.697 0.664
0.303 0.697 0.836
0.697 0.303 0.164
0.697 0.303 0.336
0.299 0.701 0.250
0.476 0.524 0.098
0.476 0.524 0.402
0.524 0.476 0.598
0.524 0.476 0.902
0.701 0.299 0.750
```

Calculated values
**Density of states at the Fermi level**: 0.723 states/eV per atom
**SG**: Cmcm, No. 63
**Formation energy**: -0.71 eV per formula unit



Record 11
VASP calculation (GGA-PBE) on a relaxed RbSnPb crystal.

POSCAR file:
```
RbSnPb
1.0
4.583 0.000 0.000
0.000 7.409 0.000
0.000 0.000 14.241
Rb Sn Pb
4 4 4
direct
0.000 0.000 0.187
0.000 0.000 0.813
0.500 0.500 0.313
0.500 0.500 0.687
0.000 0.500 0.107
0.000 0.500 0.893
0.500 0.000 0.393
0.500 0.000 0.607
0.000 0.230 0.500
0.000 0.770 0.500
0.500 0.270 0.000
0.500 0.730 0.000
```

Calculated values
**Density of states at the Fermi level**: 0.200 states/eV per atom
**Energy above the lowest structure with this stoichiometry**: 0.00 eV per formula unit
**SG**: Immm, No. 71
**Formation energy**: -0.55 eV per formula unit



Record 12
VASP calculation (GGA-PBE) on a relaxed Rb4Sn4Pb crystal.

POSCAR file:
```
Rb4Sn4Pb
1.0
-6.484 6.484 3.840
6.484 -6.484 3.840
6.484 6.484 -3.840
Rb Sn Pb
4 4 1
direct
0.208 0.208 0.698
0.489 0.792 0.000
0.511 0.511 0.302
0.792 0.489 0.000
0.015 0.015 0.291
0.277 0.985 0.000
0.723 0.723 0.709
0.985 0.277 0.000
0.000 0.000 0.000
```

Calculated values
**Density of states at the Fermi level**: 0.534 states/eV per atom
**SG**: I-42m, No. 121
**Formation energy**: 2.42 eV per formula unit



Record 13
VASP calculation (GGA-PBE) on a relaxed RbSnPb3 crystal.

POSCAR file:
```
RbSnPb3
1.0
6.094 0.000 0.000
0.000 6.094 0.000
0.000 0.000 6.094
Rb Sn Pb
1 1 3
direct
0.000 0.000 0.000
0.500 0.500 0.500
0.000 0.000 0.500
0.000 0.500 0.000
0.500 0.000 0.000
```

Calculated values
**Density of states at the Fermi level**: 1.267 states/eV per atom
**Energy above the lowest structure with this stoichiometry**: 5.89 eV per formula unit
**SG**: Pm-3m, No. 221
**Formation energy**: 5.57 eV per formula unit



Record 14
VASP calculation (GGA-PBE) on a relaxed Rb2Sn2Pb crystal.

POSCAR file:
```
Rb2Sn2Pb
1.0
4.200 0.000 0.000
0.000 4.200 0.000
0.000 0.000 24.188
Rb Sn Pb
4 4 2
direct
0.000 0.000 0.107
0.000 0.000 0.893
0.500 0.500 0.393
0.500 0.500 0.607
0.000 0.500 0.250
0.000 0.500 0.750
0.500 0.000 0.250
0.500 0.000 0.750
0.000 0.000 0.500
0.500 0.500 0.000
```

Calculated values
**Density of states at the Fermi level**: 0.932 states/eV per atom
**Energy above the lowest structure with this stoichiometry**: 0.86 eV per formula unit
**SG**: I4/mmm, No. 139
**Formation energy**: 0.22 eV per formula unit



Record 15
VASP calculation (GGA-PBE) on a relaxed RbSnPb6 crystal.

POSCAR file:
```
RbSnPb6
1.0
5.148 0.000 0.000
0.000 5.148 0.000
0.000 0.000 11.222
Rb Sn Pb
1 1 6
direct
0.000 0.000 0.000
0.000 0.000 0.500
0.000 0.500 0.322
0.000 0.500 0.678
0.500 0.000 0.322
0.500 0.000 0.678
0.500 0.500 0.146
0.500 0.500 0.854
```

Calculated values
**Density of states at the Fermi level**: 0.347 states/eV per atom
**SG**: P4/mmm, No. 123
**Formation energy**: -0.28 eV per formula unit



Record 16
VASP calculation (GGA-PBE) on a relaxed RbSn3Pb3 crystal.

POSCAR file:
```
RbSn3Pb3
1.0
8.457 0.000 0.000
0.000 8.457 0.000
0.000 0.000 8.457
Rb Sn Pb
2 6 6
direct
0.000 0.000 0.000
0.500 0.500 0.500
0.000 0.250 0.500
0.000 0.750 0.500
0.250 0.500 0.000
0.500 0.000 0.250
0.500 0.000 0.750
0.750 0.500 0.000
0.000 0.500 0.250
0.000 0.500 0.750
0.250 0.000 0.500
0.500 0.250 0.000
0.500 0.750 0.000
0.750 0.000 0.500
```

Calculated values
**Density of states at the Fermi level**: 0.428 states/eV per atom
**Energy above the lowest structure with this stoichiometry**: 0.17 eV per formula unit
**SG**: Pm-3n, No. 223
**Formation energy**: 0.52 eV per formula unit



Record 17
VASP calculation (GGA-PBE) on a relaxed RbSnPb3 crystal.

POSCAR file:
```
RbSnPb3
1.0
7.167 0.000 0.000
0.000 7.198 0.000
-7.162 0.000 7.182
Rb Sn Pb
2 2 6
direct
0.000 0.242 0.000
0.000 0.758 0.500
0.347 0.401 0.847
0.347 0.599 0.347
0.251 0.261 0.501
0.251 0.739 0.001
0.644 0.104 0.144
0.644 0.896 0.644
0.751 0.261 0.501
0.751 0.739 0.001
```

Calculated values
**Density of states at the Fermi level**: 0.624 states/eV per atom
**Energy above the lowest structure with this stoichiometry**: 0.00 eV per formula unit
**SG**: Pc, No. 7
**Formation energy**: -0.32 eV per formula unit



Record 18
VASP calculation (GGA-PBE) on a relaxed RbSn2Pb crystal.

POSCAR file:
```
RbSn2Pb
1.0
5.922 0.000 0.000
0.000 12.478 0.000
0.000 0.000 7.590
Rb Sn Pb
4 8 4
direct
0.000 0.092 0.250
0.000 0.908 0.750
0.500 0.408 0.750
0.500 0.592 0.250
0.000 0.385 0.054
0.000 0.385 0.446
0.000 0.615 0.554
0.000 0.615 0.946
0.500 0.115 0.554
0.500 0.115 0.946
0.500 0.885 0.054
0.500 0.885 0.446
0.000 0.201 0.750
0.000 0.799 0.250
0.500 0.299 0.250
0.500 0.701 0.750
```

Calculated values
**Density of states at the Fermi level**: 0.760 states/eV per atom
**SG**: Cmcm, No. 63
**Formation energy**: -0.37 eV per formula unit



Record 19
VASP calculation (GGA-PBE) on a relaxed Rb2Sn5Pb5 crystal.

POSCAR file:
```
Rb2Sn5Pb5
1.0
5.633 0.000 0.000
0.000 6.551 0.000
0.000 0.000 11.325
Rb Sn Pb
2 5 5
direct
0.000 0.000 0.000
0.000 0.500 0.500
0.500 0.000 0.500
0.500 0.252 0.256
0.500 0.252 0.744
0.500 0.748 0.256
0.500 0.748 0.744
0.000 0.000 0.333
0.000 0.000 0.667
0.000 0.500 0.174
0.000 0.500 0.826
0.500 0.500 0.000
```

Calculated values
**Density of states at the Fermi level**: 0.559 states/eV per atom
**SG**: Pmmm, No. 47
**Formation energy**: -0.50 eV per formula unit



Record 20
VASP calculation (GGA-PBE) on a relaxed RbSn4Pb2 crystal.

POSCAR file:
```
RbSn4Pb2
1.0
4.706 0.000 0.000
0.000 4.991 0.000
0.000 0.000 20.693
Rb Sn Pb
2 8 4
direct
0.000 0.000 0.000
0.500 0.500 0.500
0.000 0.000 0.425
0.000 0.000 0.575
0.000 0.500 0.165
0.000 0.500 0.835
0.500 0.000 0.335
0.500 0.000 0.665
0.500 0.500 0.075
0.500 0.500 0.925
0.000 0.500 0.323
0.000 0.500 0.677
0.500 0.000 0.177
0.500 0.000 0.823
```

Calculated values
**Density of states at the Fermi level**: 0.465 states/eV per atom
**Energy above the lowest structure with this stoichiometry**: 0.14 eV per formula unit
**SG**: Immm, No. 71
**Formation energy**: -0.13 eV per formula unit



Record 21
VASP calculation (GGA-PBE) on a relaxed Rb2Sn10Pb crystal.

POSCAR file:
```
Rb2Sn10Pb
1.0
11.841 0.000 0.000
0.000 12.695 0.000
0.000 0.000 6.763
Rb Sn Pb
4 20 2
direct
0.125 0.133 0.000
0.375 0.633 0.000
0.625 0.367 0.000
0.875 0.867 0.000
0.027 0.707 0.500
0.161 0.480 0.500
0.179 0.850 0.236
0.179 0.850 0.764
0.206 0.191 0.500
0.294 0.691 0.500
0.321 0.350 0.236
0.321 0.350 0.764
0.339 0.980 0.500
0.473 0.207 0.500
0.527 0.793 0.500
0.661 0.020 0.500
0.679 0.650 0.236
0.679 0.650 0.764
0.706 0.309 0.500
0.794 0.809 0.500
0.821 0.150 0.236
0.821 0.150 0.764
0.839 0.520 0.500
0.973 0.293 0.500
0.000 0.000 0.500
0.500 0.500 0.500
```

Calculated values
**Density of states at the Fermi level**: 0.483 states/eV per atom
**SG**: Pbam, No. 55
**Formation energy**: 0.17 eV per formula unit



Record 22
VASP calculation (GGA-PBE) on a relaxed RbSnPb2 crystal.

POSCAR file:
```
RbSnPb2
1.0
5.166 0.000 0.000
0.000 5.166 0.000
0.000 0.000 11.425
Rb Sn Pb
2 2 4
direct
0.250 0.250 0.243
0.750 0.750 0.757
0.250 0.250 0.662
0.750 0.750 0.338
0.250 0.250 0.939
0.250 0.750 0.500
0.750 0.250 0.500
0.750 0.750 0.061
```

Calculated values
**Density of states at the Fermi level**: 0.826 states/eV per atom
**SG**: P4/nmm, No. 129
**Formation energy**: -0.03 eV per formula unit



Record 23
VASP calculation (GGA-PBE) on a relaxed RbSn6Pb2 crystal.

POSCAR file:
```
RbSn6Pb2
1.0
-2.434 3.935 7.953
2.434 -3.935 7.953
2.434 3.935 -7.953
Rb Sn Pb
1 6 2
direct
0.000 0.000 0.000
0.003 0.304 0.699
0.315 0.500 0.815
0.394 0.696 0.699
0.606 0.304 0.301
0.685 0.500 0.185
0.997 0.696 0.301
0.385 0.885 0.500
0.615 0.115 0.500
```

Calculated values
**Density of states at the Fermi level**: 0.449 states/eV per atom
**SG**: Immm, No. 71
**Formation energy**: -0.02 eV per formula unit



no.,DFT total energy (eV per cell)
1,-34.2
2,-49.3
3,-37.7
4,-48.6
5,-25.3
6,-48.0
7,-20.4
8,-46.4
9,-30.9
10,-45.5
11,-36.9
12,-21.2
13,-10.5
14,-26.9
15,-27.5
16,-47.2
17,-32.8
18,-52.2
19,-41.0
20,-49.1
21,-91.0
22,-24.8
23,-32.4